Entry from Alexandria via LeMat-Bulk: a relaxed structure of Be2ZnSn (PBE-GGA).

Results
The density of states at the Fermi level is 3.2 states/eV/cell. As for the symmetry: I-42d. The final energy is -2.7617 eV per atom.

```
8
Lattice="-2.067 2.067 7.818 2.067 -2.067 7.818 2.067 2.067 -7.818" Properties=species:S:1:pos:R:3 pbc="T T T"
Be 0.271 1.033 1.955
Be -1.033 1.796 5.864
Be -0.271 3.100 1.955
Be 1.033 2.338 5.864
Zn 0.000 0.000 0.000
Zn 0.000 2.067 3.909
Sn 2.067 0.000 3.909
Sn 0.000 0.000 7.818
```